{
  "formula": "Np2Tl3NiO9",
  "functional": "PBE+U",
  "state": "relaxed",
  "m_tot_mub_per_atom": 0.199,
  "space_group": "P-3m1",
  "e_tot_ev_per_atom": -7.168,
  "lattice_angstrom": [[5.9710, 0.0000, 0.0000], [-2.9855, 5.1711, 0.0000], [0.0000, 0.0000, 7.3259]],
  "species": ["Np", "Np", "Tl", "Tl", "Tl", "Ni", "O", "O", "O", "O", "O", "O", "O", "O", "O"],
  "frac_coords": [[0.3333, 0.6667, 0.1757], [0.6667, 0.3333, 0.8243], [0.3333, 0.6667, 0.6553], [0.0000, 0.0000, 0.0000], [0.6667, 0.3333, 0.3447], [0.0000, 0.0000, 0.5000], [0.8281, 0.1719, 0.6727], [0.8281, 0.6561, 0.6727], [0.3439, 0.1719, 0.6727], [0.6561, 0.8281, 0.3273], [0.1719, 0.3439, 0.3273], [0.1719, 0.8281, 0.3273], [0.5000, 0.0000, 0.0000], [0.0000, 0.5000, 0.0000], [0.5000, 0.5000, 0.0000]]
}